# 1
DFT (PBE+U) results for crystalline CoReO3 at its relaxed geometry.

## Properties
E in eV/atom: -7.166
SG: No. 221

extended XYZ file:
```
5
Lattice="3.8642 0.0000 0.0000 0.0000 3.8642 0.0000 0.0000 0.0000 3.8642" Properties=species:S:1:pos:R:3 pbc="T T T"
Co 0.0000 0.0000 0.0000
Re 1.9321 1.9321 1.9321
O 0.0000 1.9321 1.9321
O 1.9321 0.0000 1.9321
O 1.9321 1.9321 0.0000
```


# 2
DFT (PBE+U) results for crystalline Co2ReO2 at its relaxed geometry.

## Properties
SG: No. 139
Energy above the lowest structure with this stoichiometry in eV/f.u.: 1.43

extended XYZ file:
```
5
Lattice="-2.2123 2.2123 3.3164 2.2123 -2.2123 3.3164 2.2123 2.2123 -3.3164" Properties=species:S:1:pos:R:3 pbc="T T T"
Co 2.2123 0.0000 1.6582
Co 0.0000 2.2123 1.6582
Re 0.0000 0.0000 0.0000
O 0.0000 0.0000 1.8600
O 0.0000 0.0000 4.7729
```


# 3
DFT (PBE+U) results for crystalline Co2ReO2 at its relaxed geometry.

## Properties
SG: No. 127
Energy above the lowest structure with this stoichiometry in eV/f.u.: 0.00

extended XYZ file:
```
10
Lattice="5.4144 0.0000 0.0000 0.0000 5.4144 0.0000 0.0000 0.0000 4.0006" Properties=species:S:1:pos:R:3 pbc="T T T"
Co 1.0054 1.7019 0.0000
Co 1.7019 4.4091 0.0000
Co 3.7126 1.0054 0.0000
Co 4.4091 3.7126 0.0000
Re 0.0000 0.0000 2.0003
Re 2.7072 2.7072 2.0003
O 1.0460 1.6612 2.0003
O 1.6612 4.3684 2.0003
O 3.7532 1.0460 2.0003
O 4.3684 3.7532 2.0003
```


# 4
DFT (PBE+U) results for crystalline CoReO3 at its relaxed geometry.

## Properties
E in eV/atom: -6.217
SG: No. 221

extended XYZ file:
```
5
Lattice="3.6646 0.0000 0.0000 0.0000 3.6646 0.0000 0.0000 0.0000 3.6646" Properties=species:S:1:pos:R:3 pbc="T T T"
Co 0.0000 0.0000 0.0000
Re 1.8323 1.8323 1.8323
O 0.0000 0.0000 1.8323
O 0.0000 1.8323 0.0000
O 1.8323 0.0000 0.0000
```


# 5
DFT (PBE+U) results for crystalline CoReO2 at its relaxed geometry.

## Properties
SG: No. 225
Energy above the lowest structure with this stoichiometry in eV/f.u.: 3.93

extended XYZ file:
```
4
Lattice="0.0000 2.6894 2.6894 2.6894 0.0000 2.6894 2.6894 2.6894 0.0000" Properties=species:S:1:pos:R:3 pbc="T T T"
Co 0.0000 0.0000 0.0000
Re 2.6894 2.6894 2.6894
O 1.3447 1.3447 1.3447
O 4.0341 4.0341 4.0341
```


# 6
DFT (PBE+U) results for crystalline CoReO2 at its relaxed geometry.

## Properties
SG: No. 166
Energy above the lowest structure with this stoichiometry in eV/f.u.: 0.00

extended XYZ file:
```
4
Lattice="1.3781 0.7956 6.1447 -1.3781 0.7956 6.1447 0.0000 -1.5913 6.1447" Properties=species:S:1:pos:R:3 pbc="T T T"
Co 0.0000 0.0000 0.0000
Re 0.0000 0.0000 9.2170
O 0.0000 0.0000 7.1903
O 0.0000 0.0000 11.2437
```


# 7
DFT (PBE+U) results for crystalline CoRe3O at its relaxed geometry.

## Properties
SG: No. 221
Energy above the lowest structure with this stoichiometry in eV/f.u.: 0.00

extended XYZ file:
```
5
Lattice="4.0429 0.0000 0.0000 0.0000 4.0429 0.0000 0.0000 0.0000 4.0429" Properties=species:S:1:pos:R:3 pbc="T T T"
Co 0.0000 0.0000 0.0000
Re 0.0000 2.0215 2.0215
Re 2.0215 0.0000 2.0215
Re 2.0215 2.0215 0.0000
O 2.0215 2.0215 2.0215
```


# 8
DFT (PBE+U) results for crystalline Co2ReRhO at its relaxed geometry.

## Properties
E in eV/atom: -6.064
SG: No. 123

extended XYZ file:
```
5
Lattice="4.6227 0.0000 0.0000 0.0000 4.6227 0.0000 0.0000 0.0000 3.6686" Properties=species:S:1:pos:R:3 pbc="T T T"
Co 0.0000 2.3113 0.0000
Co 2.3113 0.0000 0.0000
Re 0.0000 0.0000 0.0000
Rh 2.3113 2.3113 1.8343
O 0.0000 0.0000 1.8343
```